# 1
Compound: TmGaCoIr
Source: Alexandria
Functional: PBE-GGA
Structure: relaxed

Unit cell a=6.3205 b=6.3205 c=6.3205 alpha=90.00 beta=90.00 gamma=90.00
Space group F-43m (No. 216)
Inequivalent atoms, fractional coordinates:
Tm 0.0000 0.0000 0.0000
Ga 0.0000 0.0000 0.5000
Co 0.2500 0.2500 0.7500
Ir 0.2500 0.2500 0.2500

Properties
formation enthalpy at 0 K	-0.471	eV per atom
magnetic moment	0.00	μB/f.u.
raw total energy	-25.35	eV per formula unit

***

# 2
Compound: Tb2HoCo
Source: Alexandria
Functional: PBE-GGA
Structure: relaxed

Unit cell a=3.6837 b=11.8406 c=9.4195 alpha=90.00 beta=90.00 gamma=90.00
Space group Cmcm (No. 63)
Inequivalent atoms, fractional coordinates:
Tb 0.0000 0.1393 0.0719
Ho 0.0000 0.4139 0.2500
Co 0.0000 0.2560 0.7500

Properties
formation enthalpy at 0 K	-0.130	eV per atom
magnetic moment	0.00	μB/f.u.
energy relative to the lowest polymorph listed for this composition	0.606	kcal/mol of atoms
raw total energy	-21.46	eV per formula unit

***

# 3
Compound: Na3Pu2TiTe6
Source: Alexandria
Functional: PBE-GGA
Structure: relaxed

Unit cell a=7.5217 b=13.0365 c=7.9442 alpha=90.00 beta=108.51 gamma=90.00
Space group C2/m (No. 12)
Inequivalent atoms, fractional coordinates:
Na 0.0000 0.0000 0.0000
Na 0.0000 0.3265 0.0000
Pu 0.0000 0.1660 0.5000
Ti 0.0000 0.5000 0.5000
Te 0.2309 0.3444 0.7266
Te 0.2338 0.5000 0.2731

Properties
formation energy without anion corrections	-941	meV per atom
magnetic moment	11.00	μB/f.u.
raw total energy	-70.66	eV per formula unit

***

# 4
Compound: TbTlAgRh
Source: Alexandria
Functional: PBE-GGA
Structure: relaxed

Unit cell a=6.8998 b=6.8998 c=6.8998 alpha=90.00 beta=90.00 gamma=90.00
Space group F-43m (No. 216)
Inequivalent atoms, fractional coordinates:
Tb 0.0000 0.0000 0.0000
Tl 0.0000 0.0000 0.5000
Ag 0.2500 0.2500 0.7500
Rh 0.2500 0.2500 0.2500

Properties
formation enthalpy at 0 K	-0.295	eV per atom
magnetic moment	0.00	μB/f.u.
raw total energy	-18.38	eV per formula unit

***

# 5
Compound: Pr3Lu
Source: Alexandria
Functional: PBE-GGA
Structure: relaxed

Unit cell a=3.7061 b=11.8170 c=6.3387 alpha=90.00 beta=90.00 gamma=90.00
Space group Imm2 (No. 44)
Inequivalent atoms, fractional coordinates:
Pr 0.0000 0.0000 0.0000
Pr 0.0000 0.2455 0.6625
Lu 0.0000 0.5000 0.9974

Properties
formation enthalpy at 0 K	0.033	eV per atom
magnetic moment	0.00	μB/f.u.
energy relative to the lowest polymorph listed for this composition	0.453	kcal/mol of atoms
raw total energy	-18.73	eV per formula unit

***

# 6
Compound: Nd3ZnSi3
Source: Alexandria
Functional: PBE-GGA
Structure: relaxed

Unit cell a=4.0300 b=4.3607 c=18.3576 alpha=90.00 beta=90.00 gamma=90.00
Space group Imm2 (No. 44)
Inequivalent atoms, fractional coordinates:
Nd 0.0000 0.0000 0.0000
Nd 0.0000 0.0000 0.3699
Nd 0.0000 0.5000 0.6900
Zn 0.0000 0.5000 0.1196
Si 0.0000 0.0000 0.5456
Si 0.0000 0.0000 0.8269
Si 0.0000 0.5000 0.2501

Properties
formation energy without anion corrections	-683	meV per atom
magnetic moment	0.64	μB/f.u.
raw total energy	-36.63	eV per formula unit

***

# 7
Compound: AcLaIn2
Source: Alexandria
Functional: PBE-GGA
Structure: relaxed

Unit cell a=4.0379 b=4.0379 c=8.0221 alpha=90.00 beta=90.00 gamma=90.00
Space group P4/mmm (No. 123)
Inequivalent atoms, fractional coordinates:
Ac 0.0000 0.0000 0.0000
La 0.0000 0.0000 0.5000
In 0.5000 0.5000 0.2627

Properties
formation enthalpy at 0 K	-0.468	eV per atom
magnetic moment	0.00	μB/f.u.
raw total energy	-16.38	eV per formula unit

***

# 8
Compound: HoBO3
Source: Alexandria
Functional: PBE-GGA
Structure: relaxed

Unit cell a=8.4214 b=6.4764 c=4.4046 alpha=90.00 beta=90.00 gamma=90.00
Space group Ama2 (No. 40)
Inequivalent atoms, fractional coordinates:
Ho 0.0000 0.0000 0.0000
B 0.2500 0.1389 0.5514
O 0.1027 0.1729 0.4171
O 0.2500 0.0755 0.8496

Properties
formation energy without anion corrections	-3061	meV per atom
magnetic moment	0.00	μB/f.u.
raw total energy	-41.44	eV per formula unit

***

# 9
Compound: Sr3AcNd2Te6
Source: Alexandria
Functional: PBE-GGA
Structure: relaxed

Unit cell a=7.9933 b=13.8293 c=8.1665 alpha=90.00 beta=109.07 gamma=90.00
Space group C2/m (No. 12)
Inequivalent atoms, fractional coordinates:
Sr 0.0000 0.0000 0.0000
Sr 0.0000 0.3361 0.0000
Ac 0.0000 0.5000 0.5000
Nd 0.0000 0.1668 0.5000
Te 0.2399 0.0000 0.7439
Te 0.2474 0.1707 0.2542

Properties
formation energy without anion corrections	-1565	meV per atom
magnetic moment	0.00	μB/f.u.
raw total energy	-56.32	eV per formula unit

***

# 10
Compound: InO
Source: Alexandria
Functional: PBE-GGA
Structure: relaxed

Unit cell a=3.2307 b=2.9806 c=6.8993 alpha=90.00 beta=103.21 gamma=90.00
Space group Pm (No. 6)
Inequivalent atoms, fractional coordinates:
In 0.0000 0.0000 0.0000
In 0.2684 0.5000 0.5244
O 0.3864 0.0000 0.7660
O 0.7189 0.0000 0.4229

Properties
formation energy without anion corrections	-1003	meV per atom
magnetic moment	0.00	μB/f.u.
raw total energy	-9.70	eV per formula unit

***

# 11
Compound: ZrNpSi
Source: Alexandria
Functional: PBE-GGA
Structure: relaxed

Unit cell a=9.8296 b=3.5506 c=6.7175 alpha=90.00 beta=102.58 gamma=90.00
Space group C2/m (No. 12)
Inequivalent atoms, fractional coordinates:
Zr 0.0199 0.0000 0.2561
Np 0.2453 0.5000 0.1182
Si 0.1624 0.5000 0.5488

Properties
formation energy without anion corrections	-147	meV per atom
magnetic moment	0.00	μB/f.u.
raw total energy	-27.35	eV per formula unit

***

no.,DOS at the Fermi energy (states/eV/cell)
1,4.374
2,20.623
3,54.848
4,13.283
5,13.341
6,8.969
7,2.999
8,0.000
9,10.834
10,0.513
11,19.172